A relaxed structure of SbAu2Cl, computed with PBE-GGA.

Values from the calculation:
Its space-group type is C2/m (12). The calculation puts the polymorph energy (0 for the lowest one) at 190 meV/atom. The calculation puts the density of states at the Fermi level at 1.22 states/eV per cell.

Structure (CIF):
```
data_SbAu2Cl
_chemical_formula_sum 'Sb1 Au2 Cl1'
_symmetry_space_group_name_H-M 'P 1'
_symmetry_Int_Tables_number 1
_symmetry_space_group_name_Hall 'P 1'
_cell_length_a 6.382
_cell_length_b 4.860
_cell_length_c 3.104
_cell_angle_alpha 91.22
_cell_angle_beta 75.45
_cell_angle_gamma 112.70
loop_
_atom_site_label
_atom_site_fract_x
_atom_site_fract_y
_atom_site_fract_z
Cl1 0.500 0.500 0.000
Au1 0.000 0.000 0.000
Au2 0.000 0.500 0.500
Sb1 0.500 0.000 0.500
```